## Fe2SbOs (GGA-PBE)

Data for a relaxed Fe2SbOs crystal.

Cell lengths 3.849, 3.849, 3.969 Å; angles 90.00, 90.00, 90.00 degrees
Atoms (fractional coordinates):
Fe 0.000 0.500 0.000
Fe 0.500 0.000 0.000
Sb 0.000 0.000 0.500
Os 0.500 0.500 0.500

Its space group is No. 123. The value obtained for the uncorrected formation energy is 0.3313 eV/atom.

***

## MnTe2SI (GGA-PBE)

Data for a relaxed MnTe2SI crystal.

Cell lengths 4.919, 4.919, 5.375 Å; angles 90.00, 90.00, 90.00 degrees
Atoms (fractional coordinates):
Mn 0.000 0.000 0.000
Te 0.000 0.500 0.000
Te 0.500 0.000 0.000
S 0.500 0.500 0.500
I 0.000 0.000 0.500

Its space group is No. 123. The value obtained for the energy relative to the lowest polymorph listed for this composition is 16.3 meV/atom. The value obtained for the uncorrected formation energy is 0.6710 eV/atom.

***

## TmThPb2 (GGA-PBE)

Data for a relaxed TmThPb2 crystal.

Cell lengths 3.590, 3.590, 31.716 Å; angles 90.00, 90.00, 120.00 degrees
Atoms (fractional coordinates):
Tm 0.000 0.000 0.000
Tm 0.333 0.667 0.667
Tm 0.667 0.333 0.333
Th 0.000 0.000 0.500
Th 0.333 0.667 0.167
Th 0.667 0.333 0.833
Pb 0.000 0.000 0.253
Pb 0.000 0.000 0.747
Pb 0.333 0.667 0.413
Pb 0.333 0.667 0.920
Pb 0.667 0.333 0.080
Pb 0.667 0.333 0.587

Its space group is No. 166. For the formation energy, the calculation gives -0.22 eV per atom. The value obtained for the energy relative to the lowest polymorph listed for this composition is 95.2 meV/atom.

***

## SrSb2H2 (GGA-PBE)

Data for a relaxed SrSb2H2 crystal.

Cell lengths 4.494, 4.494, 10.050 Å; angles 90.00, 90.00, 90.00 degrees
Atoms (fractional coordinates):
Sr 0.000 0.000 0.000
Sr 0.500 0.500 0.500
Sb 0.000 0.000 0.357
Sb 0.000 0.000 0.643
Sb 0.500 0.500 0.143
Sb 0.500 0.500 0.857
H 0.000 0.500 0.250
H 0.000 0.500 0.750
H 0.500 0.000 0.250
H 0.500 0.000 0.750

Its space group is No. 139. The value obtained for the energy relative to the lowest polymorph listed for this composition is 0.0 meV/atom.

***

## Mg2InTc (GGA-PBE)

Data for a relaxed Mg2InTc crystal.

Cell lengths 3.620, 4.624, 9.360 Å; angles 90.00, 90.00, 90.00 degrees
Atoms (fractional coordinates):
Mg 0.000 0.000 0.000
Mg 0.000 0.500 0.274
Mg 0.500 0.000 0.274
Mg 0.500 0.500 0.000
In 0.000 0.500 0.725
In 0.500 0.000 0.725
Tc 0.000 0.000 0.495
Tc 0.500 0.500 0.495

Its space group is No. 35. For the formation energy, the calculation gives 0.26 eV per atom.

***

## NdDyCu2 (GGA-PBE)

Data for a relaxed NdDyCu2 crystal.

Cell lengths 3.516, 3.516, 7.101 Å; angles 90.00, 90.00, 90.00 degrees
Atoms (fractional coordinates):
Nd 0.000 0.000 0.000
Dy 0.000 0.000 0.500
Cu 0.500 0.500 0.270
Cu 0.500 0.500 0.730

Its space group is No. 123. For the formation energy, the calculation gives -0.20 eV per atom. The value obtained for the energy relative to the lowest polymorph listed for this composition is 9.0 meV/atom.

***

## Dy2TcI (GGA-PBE)

Data for a relaxed Dy2TcI crystal.

Cell lengths 3.549, 3.549, 8.154 Å; angles 90.00, 90.00, 90.00 degrees
Atoms (fractional coordinates):
Dy 0.000 0.000 0.197
Dy 0.000 0.000 0.803
Tc 0.500 0.500 0.000
I 0.500 0.500 0.500

Its space group is No. 123. The value obtained for the energy relative to the lowest polymorph listed for this composition is 0.0 meV/atom. The value obtained for the uncorrected formation energy is -0.4015 eV/atom.

***

## CsDy4Te6 (GGA-PBE)

Data for a relaxed CsDy4Te6 crystal.

Cell lengths 7.704, 7.704, 23.523 Å; angles 90.00, 90.00, 146.37 degrees
Atoms (fractional coordinates):
Cs 0.163 0.837 0.750
Cs 0.837 0.163 0.250
Dy 0.094 0.906 0.129
Dy 0.094 0.906 0.371
Dy 0.366 0.634 0.038
Dy 0.366 0.634 0.462
Dy 0.634 0.366 0.538
Dy 0.634 0.366 0.962
Dy 0.906 0.094 0.629
Dy 0.906 0.094 0.871
Te 0.000 0.000 0.000
Te 0.000 0.000 0.500
Te 0.138 0.862 0.250
Te 0.270 0.730 0.582
Te 0.270 0.730 0.918
Te 0.460 0.540 0.150
Te 0.460 0.540 0.350
Te 0.540 0.460 0.650
Te 0.540 0.460 0.850
Te 0.730 0.270 0.082
Te 0.730 0.270 0.418
Te 0.862 0.138 0.750

Its space group is No. 63. The value obtained for the uncorrected formation energy is -1.3302 eV/atom.

***

## TeAuSe2 (GGA-PBE)

Data for a relaxed TeAuSe2 crystal.

Cell lengths 4.051, 4.051, 11.453 Å; angles 90.00, 90.00, 90.00 degrees
Atoms (fractional coordinates):
Te 0.000 0.000 0.000
Te 0.500 0.500 0.500
Au 0.000 0.000 0.500
Au 0.500 0.500 0.000
Se 0.000 0.000 0.256
Se 0.000 0.000 0.744
Se 0.500 0.500 0.244
Se 0.500 0.500 0.756

Its space group is No. 139. The value obtained for the energy relative to the lowest polymorph listed for this composition is 15.5 meV/atom. The value obtained for the uncorrected formation energy is 0.0456 eV/atom.

***

## RbSnO2F (GGA-PBE)

Data for a relaxed RbSnO2F crystal.

Cell lengths 4.077, 4.077, 4.542 Å; angles 90.00, 90.00, 90.00 degrees
Atoms (fractional coordinates):
Rb 0.000 0.000 0.000
Sn 0.500 0.500 0.500
O 0.000 0.500 0.500
O 0.500 0.000 0.500
F 0.500 0.500 0.000

Its space group is No. 123. The value obtained for the uncorrected formation energy is -1.8329 eV/atom.

***

## HgSb2As (GGA-PBE)

Data for a relaxed HgSb2As crystal.

Cell lengths 5.431, 6.682, 7.536 Å; angles 84.52, 76.92, 68.60 degrees
Atoms (fractional coordinates):
Hg 0.000 0.000 0.000
Hg 0.010 0.512 0.971
Sb 0.368 0.734 0.214
Sb 0.575 0.890 0.649
Sb 0.663 0.258 0.765
Sb 0.968 0.337 0.407
As 0.100 0.634 0.542
As 0.483 0.058 0.323

Its space group is No. 1. The value obtained for the energy relative to the lowest polymorph listed for this composition is 37.7 meV/atom. The value obtained for the uncorrected formation energy is 0.0688 eV/atom.

***

## Nd8Dy3Ho2 (GGA-PBE)

Data for a relaxed Nd8Dy3Ho2 crystal.

Cell lengths 10.907, 10.907, 5.750 Å; angles 90.02, 90.02, 41.52 degrees
Atoms (fractional coordinates):
Nd 0.099 0.689 0.000
Nd 0.173 0.173 0.501
Nd 0.311 0.901 0.000
Nd 0.368 0.368 0.500
Nd 0.632 0.632 0.500
Nd 0.689 0.099 0.000
Nd 0.827 0.827 0.499
Nd 0.901 0.311 0.000
Dy 0.214 0.786 0.500
Dy 0.500 0.500 0.000
Dy 0.786 0.214 0.500
Ho 0.260 0.260 0.001
Ho 0.740 0.740 0.999

Its space group is No. 12. For the formation energy, the calculation gives 0.20 eV per atom.

***

## SrCrCo2 (GGA-PBE)

Data for a relaxed SrCrCo2 crystal.

Cell lengths 4.785, 4.785, 14.739 Å; angles 90.00, 90.00, 90.00 degrees
Atoms (fractional coordinates):
Sr 0.000 0.250 0.375
Sr 0.000 0.750 0.625
Sr 0.500 0.250 0.125
Sr 0.500 0.750 0.875
Cr 0.000 0.250 0.875
Cr 0.000 0.750 0.125
Cr 0.500 0.250 0.625
Cr 0.500 0.750 0.375
Co 0.000 0.000 0.000
Co 0.000 0.500 0.000
Co 0.250 0.250 0.750
Co 0.250 0.750 0.250
Co 0.500 0.000 0.500
Co 0.500 0.500 0.500
Co 0.750 0.250 0.750
Co 0.750 0.750 0.250

Its space group is No. 141. For the formation energy, the calculation gives 0.72 eV per atom. The value obtained for the energy relative to the lowest polymorph listed for this composition is 399.8 meV/atom.

***

## Sr5CdRh (GGA-PBE)

Data for a relaxed Sr5CdRh crystal.

Cell lengths 7.311, 7.311, 10.798 Å; angles 95.31, 95.31, 95.19 degrees
Atoms (fractional coordinates):
Sr 0.092 0.658 0.370
Sr 0.131 0.869 0.750
Sr 0.218 0.362 0.986
Sr 0.342 0.908 0.130
Sr 0.362 0.218 0.486
Sr 0.638 0.782 0.514
Sr 0.658 0.092 0.870
Sr 0.782 0.638 0.014
Sr 0.869 0.131 0.250
Sr 0.908 0.342 0.630
Cd 0.472 0.528 0.750
Cd 0.528 0.472 0.250
Rh 0.000 0.000 0.000
Rh 0.000 0.000 0.500

Its space group is No. 15. For the formation energy, the calculation gives -0.18 eV per atom.

***

## Nd2SmDy8 (GGA-PBE)

Data for a relaxed Nd2SmDy8 crystal.

Cell lengths 9.452, 9.452, 7.997 Å; angles 104.68, 104.68, 31.02 degrees
Atoms (fractional coordinates):
Nd 0.227 0.227 0.137
Nd 0.773 0.773 0.863
Sm 0.500 0.500 0.500
Dy 0.045 0.045 0.227
Dy 0.136 0.136 0.679
Dy 0.319 0.319 0.592
Dy 0.410 0.410 0.045
Dy 0.590 0.590 0.955
Dy 0.681 0.681 0.408
Dy 0.864 0.864 0.321
Dy 0.955 0.955 0.773

Its space group is No. 12. For the formation energy, the calculation gives 0.02 eV per atom. The value obtained for the energy relative to the lowest polymorph listed for this composition is 0.0 meV/atom.

***

## FeSiHgBiH (GGA-PBE)

Data for a relaxed FeSiHgBiH crystal.

Cell lengths 3.161, 4.148, 7.487 Å; angles 78.49, 78.13, 67.62 degrees
Atoms (fractional coordinates):
Fe 0.000 0.000 0.000
Si 0.681 0.568 0.072
Hg 0.802 0.016 0.387
Bi 0.383 0.491 0.735
H 0.420 0.101 0.059

Its space group is No. 1. The value obtained for the energy relative to the lowest polymorph listed for this composition is 78.4 meV/atom.

***

## PaAlMoPd (GGA-PBE)

Data for a relaxed PaAlMoPd crystal.

Cell lengths 6.643, 6.643, 6.643 Å; angles 90.00, 90.00, 90.00 degrees
Atoms (fractional coordinates):
Pa 0.000 0.000 0.000
Pa 0.000 0.500 0.500
Pa 0.500 0.000 0.500
Pa 0.500 0.500 0.000
Al 0.000 0.000 0.500
Al 0.000 0.500 0.000
Al 0.500 0.000 0.000
Al 0.500 0.500 0.500
Mo 0.250 0.250 0.250
Mo 0.250 0.750 0.750
Mo 0.750 0.250 0.750
Mo 0.750 0.750 0.250
Pd 0.250 0.250 0.750
Pd 0.250 0.750 0.250
Pd 0.750 0.250 0.250
Pd 0.750 0.750 0.750

Its space group is No. 216. For the formation energy, the calculation gives -0.25 eV per atom.

***

## Li2TmSiGe2 (GGA-PBE)

Data for a relaxed Li2TmSiGe2 crystal.

Cell lengths 3.990, 7.695, 7.529 Å; angles 90.00, 90.00, 90.00 degrees
Atoms (fractional coordinates):
Li 0.000 0.103 0.000
Li 0.000 0.897 0.500
Li 0.500 0.145 0.339
Li 0.500 0.855 0.839
Tm 0.500 0.477 0.000
Tm 0.500 0.523 0.500
Si 0.000 0.347 0.737
Si 0.000 0.653 0.237
Ge 0.000 0.343 0.262
Ge 0.000 0.657 0.762
Ge 0.500 0.165 0.704
Ge 0.500 0.835 0.204

Its space group is No. 26. The value obtained for the uncorrected formation energy is -0.4085 eV/atom.

***

## Cd2CuRe (GGA-PBE)

Data for a relaxed Cd2CuRe crystal.

Cell lengths 3.879, 3.879, 19.536 Å; angles 90.00, 90.00, 90.00 degrees
Atoms (fractional coordinates):
Cd 0.247 0.250 0.125
Cd 0.250 0.747 0.375
Cd 0.250 0.753 0.875
Cd 0.253 0.250 0.625
Cd 0.747 0.750 0.625
Cd 0.750 0.247 0.875
Cd 0.750 0.253 0.375
Cd 0.753 0.750 0.125
Cu 0.000 0.000 0.000
Cu 0.000 0.500 0.250
Cu 0.500 0.000 0.750
Cu 0.500 0.500 0.500
Re 0.000 0.000 0.500
Re 0.000 0.500 0.750
Re 0.500 0.000 0.250
Re 0.500 0.500 0.000

Its space group is No. 122. For the formation energy, the calculation gives 0.97 eV per atom. The value obtained for the energy relative to the lowest polymorph listed for this composition is 578.7 meV/atom.

***

## Sn3Sb2As (GGA-PBE)

Data for a relaxed Sn3Sb2As crystal.

Cell lengths 4.292, 4.292, 18.126 Å; angles 90.00, 90.00, 90.00 degrees
Atoms (fractional coordinates):
Sn 0.000 0.000 0.000
Sn 0.000 0.000 0.342
Sn 0.000 0.000 0.658
Sn 0.500 0.500 0.158
Sn 0.500 0.500 0.500
Sn 0.500 0.500 0.842
Sb 0.000 0.000 0.169
Sb 0.000 0.000 0.831
Sb 0.500 0.500 0.331
Sb 0.500 0.500 0.669
As 0.000 0.000 0.500
As 0.500 0.500 0.000

Its space group is No. 139. The value obtained for the uncorrected formation energy is -0.0017 eV/atom.

***

## YErPtRh (GGA-PBE)

Data for a relaxed YErPtRh crystal.

Cell lengths 4.328, 3.775, 10.573 Å; angles 90.00, 90.00, 90.00 degrees
Atoms (fractional coordinates):
Y 0.000 0.000 0.000
Y 0.000 0.500 0.500
Er 0.500 0.000 0.282
Er 0.500 0.500 0.782
Pt 0.500 0.000 0.559
Pt 0.500 0.500 0.059
Rh 0.000 0.000 0.733
Rh 0.000 0.500 0.233

Its space group is No. 38. For the formation energy, the calculation gives -1.06 eV per atom. The value obtained for the energy relative to the lowest polymorph listed for this composition is 0.0 meV/atom.

***

## Zn2Pd2Pt (GGA-PBE)

Data for a relaxed Zn2Pd2Pt crystal.

Cell lengths 6.577, 6.577, 6.577 Å; angles 122.94, 76.14, 134.09 degrees
Atoms (fractional coordinates):
Zn 0.163 0.249 0.413
Zn 0.337 0.749 0.086
Zn 0.663 0.251 0.914
Zn 0.837 0.751 0.587
Pd 0.100 0.646 0.746
Pd 0.400 0.146 0.546
Pd 0.600 0.854 0.454
Pd 0.900 0.354 0.254
Pt 0.250 0.250 0.000
Pt 0.750 0.750 0.000

Its space group is No. 72. For the formation energy, the calculation gives -0.22 eV per atom. The value obtained for the energy relative to the lowest polymorph listed for this composition is 182.5 meV/atom.

***

## LiCe3Pm4Te8 (GGA-PBE)

Data for a relaxed LiCe3Pm4Te8 crystal.

Cell lengths 8.933, 8.933, 8.933 Å; angles 59.87, 59.87, 59.87 degrees
Atoms (fractional coordinates):
Li 0.000 0.000 0.000
Ce 0.000 0.500 0.500
Ce 0.500 0.000 0.500
Ce 0.500 0.500 0.000
Pm 0.000 0.000 0.500
Pm 0.000 0.500 0.000
Pm 0.500 0.000 0.000
Pm 0.500 0.500 0.500
Te 0.243 0.756 0.756
Te 0.244 0.244 0.757
Te 0.244 0.757 0.244
Te 0.249 0.249 0.249
Te 0.751 0.751 0.751
Te 0.756 0.243 0.756
Te 0.756 0.756 0.243
Te 0.757 0.244 0.244

Its space group is No. 166. The value obtained for the uncorrected formation energy is -1.3748 eV/atom.

***

## As2OsBrN (GGA-PBE)

Data for a relaxed As2OsBrN crystal.

Cell lengths 4.279, 4.279, 4.281 Å; angles 90.00, 90.00, 90.00 degrees
Atoms (fractional coordinates):
As 0.000 0.500 0.000
As 0.500 0.000 0.000
Os 0.000 0.000 0.500
Br 0.500 0.500 0.500
N 0.500 0.500 0.000

Its space group is No. 123. The value obtained for the energy relative to the lowest polymorph listed for this composition is 2.5 meV/atom. The value obtained for the uncorrected formation energy is 1.4530 eV/atom.

***

## TaH2W (GGA-PBE)

Data for a relaxed TaH2W crystal.

Cell lengths 5.472, 5.472, 5.472 Å; angles 90.00, 90.00, 90.00 degrees
Atoms (fractional coordinates):
Ta 0.000 0.000 0.000
Ta 0.000 0.500 0.500
Ta 0.500 0.000 0.500
Ta 0.500 0.500 0.000
H 0.250 0.250 0.250
H 0.250 0.250 0.750
H 0.250 0.750 0.250
H 0.250 0.750 0.750
H 0.750 0.250 0.250
H 0.750 0.250 0.750
H 0.750 0.750 0.250
H 0.750 0.750 0.750
W 0.000 0.000 0.500
W 0.000 0.500 0.000
W 0.500 0.000 0.000
W 0.500 0.500 0.500

Its space group is No. 225. The value obtained for the energy relative to the lowest polymorph listed for this composition is 689.7 meV/atom.

***

| no. | total moment (μB per atom) | DOS(E_F) (states/eV/cell) |
| --- | --- | --- |
| 1 | 1.29 | 4.17 |
| 2 | 0.00 | 7.45 |
| 3 | 0.00 | 10.20 |
| 4 | 0.00 | 1.86 |
| 5 | 0.00 | 5.31 |
| 6 | 0.00 | 2.16 |
| 7 | 0.00 | 1.99 |
| 8 | 0.00 | 4.78 |
| 9 | 0.00 | 4.27 |
| 10 | 0.00 | 0.66 |
| 11 | 0.00 | 1.22 |
| 12 | 0.00 | 18.58 |
| 13 | 0.62 | 15.89 |
| 14 | 0.00 | 10.26 |
| 15 | 0.00 | 15.42 |
| 16 | 0.10 | 2.92 |
| 17 | 0.00 | 7.84 |
| 18 | 0.00 | 3.03 |
| 19 | 0.18 | 10.65 |
| 20 | 0.00 | 5.84 |
| 21 | 0.00 | 4.04 |
| 22 | 0.00 | 5.18 |
| 23 | 0.23 | 24.75 |
| 24 | 0.00 | 2.80 |
| 25 | 0.00 | 11.62 |